1.
Density functional theory data (PBE-GGA) for an optimized crystal structure of Fe2NiPt.

Computed properties:
The calculation puts the final energy at -0.2664 hartree per atom. Its calculated formation energy is -0.063 eV per atom.

CIF file:
```
data_Fe2NiPt
_symmetry_space_group_name_H-M 'F -4 3 m'
_symmetry_Int_Tables_number 216
_symmetry_space_group_name_Hall 'F -4 2 3'
_cell_length_a 5.905
_cell_length_b 5.905
_cell_length_c 5.905
_cell_angle_alpha 90.00
_cell_angle_beta 90.00
_cell_angle_gamma 90.00
loop_
_atom_site_label
_atom_site_type_symbol
_atom_site_fract_x
_atom_site_fract_y
_atom_site_fract_z
Fe1 Fe 0.000 0.000 0.000
Fe2 Fe 0.250 0.250 0.250
Ni1 Ni 0.000 0.000 0.500
Pt1 Pt 0.250 0.250 0.750
```

=====

2.
Density functional theory data (PBE-GGA) for an optimized crystal structure of FeNi23Pt6.

Computed properties:
The calculation puts the final energy at -0.2159 hartree per atom. Its calculated formation energy is 0.048 eV per atom.

CIF file:
```
data_FeNi23Pt6
_symmetry_space_group_name_H-M 'F m -3 m'
_symmetry_Int_Tables_number 225
_symmetry_space_group_name_Hall '-F 4 2 3'
_cell_length_a 11.349
_cell_length_b 11.349
_cell_length_c 11.349
_cell_angle_alpha 90.00
_cell_angle_beta 90.00
_cell_angle_gamma 90.00
loop_
_atom_site_label
_atom_site_type_symbol
_atom_site_fract_x
_atom_site_fract_y
_atom_site_fract_z
Fe1 Fe 0.000 0.000 0.000
Ni1 Ni 0.000 0.000 0.500
Ni2 Ni 0.000 0.250 0.250
Ni3 Ni 0.122 0.122 0.378
Ni4 Ni 0.164 0.164 0.164
Pt1 Pt 0.000 0.000 0.227
```

=====

3.
Density functional theory data (PBE-GGA) for an optimized crystal structure of FeNi8Pt2.

Computed properties:
The calculation puts the final energy at -0.2257 hartree per atom. Its calculated formation energy is -0.070 eV per atom.

CIF file:
```
data_FeNi8Pt2
_symmetry_space_group_name_H-M 'C 1 2/m 1'
_symmetry_Int_Tables_number 12
_cell_length_a 13.040
_cell_length_b 3.641
_cell_length_c 5.756
_cell_angle_alpha 90.00
_cell_angle_beta 105.95
_cell_angle_gamma 90.00
loop_
_symmetry_equiv_pos_as_xyz
'x,y,z'
'-x,-y,-z'
'-x,y,-z'
'x,-y,z'
'x+1/2,y+1/2,z'
'-x+1/2,-y+1/2,-z'
'-x+1/2,y+1/2,-z'
'x+1/2,-y+1/2,z'
loop_
_atom_site_label
_atom_site_type_symbol
_atom_site_fract_x
_atom_site_fract_y
_atom_site_fract_z
Fe1 Fe 0.000 0.000 0.000
Ni1 Ni 0.042 0.500 0.729
Ni2 Ni 0.085 0.000 0.444
Ni3 Ni 0.131 0.500 0.173
Ni4 Ni 0.176 0.000 0.911
Pt1 Pt 0.223 0.500 0.645
```

=====

Q: Which formula does entry 2 have?
A: FeNi23Pt6

=====

Q: Which of these has the highest final energy?
A: FeNi23Pt6